## BaSc8Ni2O15 (PBE with a Hubbard U)

Data for a relaxed structure of BaSc8Ni2O15.

a b c (Å): 12.073 10.830 9.820
angles (deg): 90.00 90.00 90.00
Space group Cmc2_1 (No. 36)
One atom of each set of equivalent atoms:
Ba  0.000  0.224  0.000 [4 per cell]
Sc  0.000  0.065  0.655 [4 per cell]
Sc  0.000  0.439  0.382 [4 per cell]
Sc  0.130  0.332  0.666 [8 per cell]
Sc  0.132  0.163  0.371 [8 per cell]
Sc  0.236  0.412  0.134 [8 per cell]
Ni  0.244  0.088  0.908 [8 per cell]
O  0.000  0.100  0.256 [4 per cell]
O  0.000  0.246  0.524 [4 per cell]
O  0.000  0.395  0.785 [4 per cell]
O  0.126  0.482  0.526 [8 per cell]
O  0.128  0.015  0.516 [8 per cell]
O  0.128  0.339  0.281 [8 per cell]
O  0.129  0.158  0.763 [8 per cell]
O  0.246  0.248  0.521 [8 per cell]
O  0.247  0.431  0.769 [8 per cell]

Computed properties:
Magnetic moment ... 3.971 μB/f.u.
Uncorrected energy ... -8.170 eV per atom